Entry 1:
ZnSbSI2 | PBE-GGA | relaxed

Results
Space group ... P4/mmm, No. 123
Size of the total moment ... 0.012 μB per atom
Final energy ... -1.995 eV/atom
E_form (uncorrected) ... 0.5294 eV/atom
E above lowest polymorph ... 0.00 eV/f.u.

a = 5.802 Å, b = 5.802 Å, c = 5.165 Å
α = 90.00°, β = 90.00°, γ = 90.00°
Fractional positions:
1 Zn 0.000 0.000 0.000
2 Sb 0.500 0.500 0.000
3 S 0.500 0.500 0.500
4 I 0.000 0.500 0.500
5 I 0.500 0.000 0.500

=====

Entry 2:
CaSb2Ru | PBE-GGA | relaxed

Results
Space group ... P4mm, No. 99
Size of the total moment ... 0.000 μB per atom
Final energy ... -5.003 eV/atom
E_form (uncorrected) ... -0.1228 eV/atom

a = 3.630 Å, b = 3.630 Å, c = 7.090 Å
α = 90.00°, β = 90.00°, γ = 90.00°
Fractional positions:
1 Ca 0.000 0.000 0.000
2 Sb 0.000 0.000 0.445
3 Sb 0.500 0.500 0.719
4 Ru 0.500 0.500 0.316

=====

Entry 3:
CaNb2Al | PBE-GGA | relaxed

Results
Space group ... I-42d, No. 122
Size of the total moment ... 0.000 μB per atom
Final energy ... -5.728 eV/atom
Formation energy ... 71.7 kJ/mol of atoms

a = 4.441 Å, b = 4.441 Å, c = 20.228 Å
α = 90.00°, β = 90.00°, γ = 90.00°
Fractional positions:
1 Ca 0.000 0.000 0.000
2 Ca 0.000 0.500 0.250
3 Ca 0.500 0.000 0.750
4 Ca 0.500 0.500 0.500
5 Nb 0.116 0.250 0.625
6 Nb 0.250 0.616 0.875
7 Nb 0.250 0.884 0.375
8 Nb 0.384 0.250 0.125
9 Nb 0.616 0.750 0.125
10 Nb 0.750 0.116 0.375
11 Nb 0.750 0.384 0.875
12 Nb 0.884 0.750 0.625
13 Al 0.000 0.000 0.500
14 Al 0.000 0.500 0.750
15 Al 0.500 0.000 0.250
16 Al 0.500 0.500 0.000

=====

Entry 4:
Ge6Br | PBE-GGA | relaxed

Results
Space group ... Im-3m, No. 229
Size of the total moment ... 0.000 μB per atom
Final energy ... -4.121 eV/atom
E_form (uncorrected) ... 0.0754 eV/atom

a = 7.041 Å, b = 7.041 Å, c = 7.041 Å
α = 90.00°, β = 90.00°, γ = 90.00°
Fractional positions:
1 Ge 0.000 0.250 0.500
2 Ge 0.000 0.500 0.250
3 Ge 0.000 0.500 0.750
4 Ge 0.000 0.750 0.500
5 Ge 0.250 0.000 0.500
6 Ge 0.250 0.500 0.000
7 Ge 0.500 0.000 0.250
8 Ge 0.500 0.000 0.750
9 Ge 0.500 0.250 0.000
10 Ge 0.500 0.750 0.000
11 Ge 0.750 0.000 0.500
12 Ge 0.750 0.500 0.000
13 Br 0.000 0.000 0.000
14 Br 0.500 0.500 0.500

=====

Entry 5:
Pr2Ni2Pt | PBE-GGA | relaxed

Results
Space group ... Immm, No. 71
Size of the total moment ... 0.000 μB per atom
Final energy ... -5.981 eV/atom
Formation energy ... -52.9 kJ/mol of atoms

a = 4.215 Å, b = 5.852 Å, c = 8.196 Å
α = 90.00°, β = 90.00°, γ = 90.00°
Fractional positions:
1 Pr 0.000 0.000 0.215
2 Pr 0.000 0.000 0.785
3 Pr 0.500 0.500 0.285
4 Pr 0.500 0.500 0.715
5 Ni 0.000 0.293 0.500
6 Ni 0.000 0.707 0.500
7 Ni 0.500 0.207 0.000
8 Ni 0.500 0.793 0.000
9 Pt 0.000 0.500 0.000
10 Pt 0.500 0.000 0.500

=====

Entry 6:
Cs4K3Au4 | PBE-GGA | relaxed

Results
Space group ... Immm, No. 71
Size of the total moment ... 0.000 μB per atom
Final energy ... -1.991 eV/atom
Formation energy ... -18.3 kJ/mol of atoms

a = 11.530 Å, b = 11.530 Å, c = 11.530 Å
α = 151.35°, β = 133.41°, γ = 55.61°
Fractional positions:
1 Cs 0.063 0.832 0.231
2 Cs 0.399 0.168 0.231
3 Cs 0.601 0.832 0.769
4 Cs 0.937 0.168 0.769
5 K 0.000 0.500 0.500
6 K 0.418 0.418 0.000
7 K 0.582 0.582 0.000
8 Au 0.188 0.688 0.500
9 Au 0.345 0.000 0.345
10 Au 0.655 0.000 0.655
11 Au 0.812 0.312 0.500

=====

Entry 7:
Mg7Ga2Pb2 | PBE-GGA | relaxed

Results
Space group ... C2/m, No. 12
Size of the total moment ... 0.000 μB per atom
Final energy ... -2.293 eV/atom
E above lowest polymorph ... 0.00 eV/f.u.
Formation energy ... -5.2 kJ/mol of atoms

a = 5.624 Å, b = 5.624 Å, c = 8.478 Å
α = 96.76°, β = 96.76°, γ = 102.13°
Fractional positions:
1 Mg 0.000 0.000 0.000
2 Mg 0.086 0.475 0.824
3 Mg 0.117 0.117 0.360
4 Mg 0.475 0.086 0.824
5 Mg 0.525 0.914 0.176
6 Mg 0.883 0.883 0.640
7 Mg 0.914 0.525 0.176
8 Ga 0.386 0.386 0.126
9 Ga 0.614 0.614 0.874
10 Pb 0.306 0.694 0.500
11 Pb 0.694 0.306 0.500

=====

Entry 8:
HfTc6 | PBE-GGA | relaxed

Results
Space group ... Pnma, No. 62
Size of the total moment ... 0.000 μB per atom
Final energy ... -10.332 eV/atom
E above lowest polymorph ... 0.00 eV/f.u.
Formation energy ... -2.4 kJ/mol of atoms

a = 8.357 Å, b = 5.076 Å, c = 10.715 Å
α = 90.00°, β = 90.00°, γ = 90.00°
Fractional positions:
1 Hf 0.230 0.250 0.056
2 Hf 0.270 0.750 0.556
3 Hf 0.730 0.250 0.444
4 Hf 0.770 0.750 0.944
5 Tc 0.070 0.750 0.074
6 Tc 0.072 0.010 0.306
7 Tc 0.072 0.490 0.306
8 Tc 0.080 0.250 0.523
9 Tc 0.136 0.750 0.850
10 Tc 0.185 0.250 0.757
11 Tc 0.315 0.750 0.257
12 Tc 0.364 0.250 0.350
13 Tc 0.420 0.750 0.023
14 Tc 0.428 0.510 0.806
15 Tc 0.428 0.990 0.806
16 Tc 0.430 0.250 0.574
17 Tc 0.570 0.750 0.426
18 Tc 0.572 0.010 0.194
19 Tc 0.572 0.490 0.194
20 Tc 0.580 0.250 0.977
21 Tc 0.636 0.750 0.650
22 Tc 0.685 0.250 0.743
23 Tc 0.815 0.750 0.243
24 Tc 0.864 0.250 0.150
25 Tc 0.920 0.750 0.477
26 Tc 0.928 0.510 0.694
27 Tc 0.928 0.990 0.694
28 Tc 0.930 0.250 0.926

=====

Entry 9:
LiFeS2 | PBE-GGA | relaxed

Results
Space group ... P2_1/c, No. 14
Size of the total moment ... 0.495 μB per atom
Final energy ... -5.305 eV/atom
E_form (uncorrected) ... -0.6476 eV/atom

a = 6.853 Å, b = 6.128 Å, c = 6.386 Å
α = 90.00°, β = 104.40°, γ = 90.00°
Fractional positions:
1 Li 0.076 0.048 0.269
2 Li 0.076 0.452 0.769
3 Li 0.924 0.548 0.231
4 Li 0.924 0.952 0.731
5 Fe 0.400 0.655 0.366
6 Fe 0.400 0.845 0.866
7 Fe 0.600 0.155 0.134
8 Fe 0.600 0.345 0.634
9 S 0.168 0.744 0.049
10 S 0.168 0.756 0.549
11 S 0.383 0.205 0.819
12 S 0.383 0.295 0.319
13 S 0.617 0.705 0.681
14 S 0.617 0.795 0.181
15 S 0.832 0.244 0.451
16 S 0.832 0.256 0.951

=====

Entry 10:
ZrAlTcRh | PBE-GGA | relaxed

Results
Space group ... F-43m, No. 216
Size of the total moment ... 0.000 μB per atom
Final energy ... -8.138 eV/atom
E above lowest polymorph ... 0.13 eV/f.u.
Formation energy ... -61.4 kJ/mol of atoms

a = 6.341 Å, b = 6.341 Å, c = 6.341 Å
α = 90.00°, β = 90.00°, γ = 90.00°
Fractional positions:
1 Zr 0.000 0.000 0.000
2 Zr 0.000 0.500 0.500
3 Zr 0.500 0.000 0.500
4 Zr 0.500 0.500 0.000
5 Al 0.000 0.000 0.500
6 Al 0.000 0.500 0.000
7 Al 0.500 0.000 0.000
8 Al 0.500 0.500 0.500
9 Tc 0.250 0.250 0.250
10 Tc 0.250 0.750 0.750
11 Tc 0.750 0.250 0.750
12 Tc 0.750 0.750 0.250
13 Rh 0.250 0.250 0.750
14 Rh 0.250 0.750 0.250
15 Rh 0.750 0.250 0.250
16 Rh 0.750 0.750 0.750

=====

Entry 11:
ScCuP2 | PBE-GGA | relaxed

Results
Space group ... I-42d, No. 122
Size of the total moment ... 0.000 μB per atom
Final energy ... -5.788 eV/atom
Formation energy ... -46.0 kJ/mol of atoms

a = 6.708 Å, b = 6.708 Å, c = 5.752 Å
α = 90.00°, β = 90.00°, γ = 90.00°
Fractional positions:
1 Sc 0.000 0.000 0.000
2 Sc 0.000 0.500 0.250
3 Sc 0.500 0.000 0.750
4 Sc 0.500 0.500 0.500
5 Cu 0.000 0.000 0.500
6 Cu 0.000 0.500 0.750
7 Cu 0.500 0.000 0.250
8 Cu 0.500 0.500 0.000
9 P 0.207 0.250 0.625
10 P 0.250 0.707 0.875
11 P 0.250 0.793 0.375
12 P 0.293 0.250 0.125
13 P 0.707 0.750 0.125
14 P 0.750 0.207 0.375
15 P 0.750 0.293 0.875
16 P 0.793 0.750 0.625

=====

Entry 12:
Pm3IrRu | PBE-GGA | relaxed

Results
Space group ... Pmmn, No. 59
Size of the total moment ... 0.000 μB per atom
Final energy ... -6.847 eV/atom
E above lowest polymorph ... 0.02 eV/f.u.
Formation energy ... -35.6 kJ/mol of atoms

a = 4.436 Å, b = 8.890 Å, c = 6.288 Å
α = 90.00°, β = 90.00°, γ = 90.00°
Fractional positions:
1 Pm 0.250 0.051 0.248
2 Pm 0.250 0.250 0.739
3 Pm 0.250 0.449 0.248
4 Pm 0.750 0.551 0.752
5 Pm 0.750 0.750 0.261
6 Pm 0.750 0.949 0.752
7 Ir 0.250 0.750 0.969
8 Ir 0.750 0.250 0.031
9 Ru 0.250 0.750 0.547
10 Ru 0.750 0.250 0.453